Ac2Pd4Au5, optimized geometry, DFT PBE-GGA; energy = -4.71 eV per atom; DOS(E_F) = 3.20 states/eV/f.u.; ΔE to the lowest computed polymorph = 8 meV/atom
1.0
-2.064 4.312 -2.859
-6.837 -0.882 -1.820
-2.870 5.003 4.192
Pd Au Ac
4 5 2
direct
0.750 0.586 0.914
0.750 0.914 0.586
0.250 0.086 0.414
0.250 0.414 0.086
0.252 0.769 0.231
0.748 0.231 0.769
0.748 0.769 0.231
0.000 0.500 0.500
0.252 0.231 0.769
0.253 0.747 0.747
0.747 0.253 0.253